A plane-wave DFT calculation with PBE-GGA was carried out for an optimized crystal structure of UTl2I4F2.

Geometry as POSCAR:
```
UTl2I4F2
1.0
6.140 -0.630 -0.428
0.630 7.729 0.060
0.630 2.893 7.167
F I U Tl
2 4 1 2
Cartesian
1.808 1.011 0.688
5.592 8.981 6.110
5.335 5.005 5.927
2.065 2.642 4.319
5.335 7.350 2.479
2.065 4.987 0.871
3.070 -0.315 -0.214
4.874 3.198 2.176
2.526 6.794 4.623
```

Summary:
The mass density comes out at 5.77 Mg/m³. The volume comes out at 38.13 Å³ per atom. Its space group is C2/m. As for the final energy: -39.423 eV/cell. The value obtained for the formation energy from raw total energies is -1.50 eV/atom.